BaMn2Fe2O7 | GGA+U | optimized geometry

The space group is Immm, No. 71. Its total energy is -6.944 eV per atom. The calculated volume is 12.10 A^3/atom.

Geometry as POSCAR:
```
BaMn2Fe2O7
1.0
-2.107 2.119 8.132
2.107 -2.119 8.132
2.107 2.119 -8.132
Ba Mn Fe O
1 2 2 7
Direct
0.000 0.000 0.000
0.250 0.750 0.500
0.750 0.250 0.500
0.383 0.383 0.000
0.617 0.617 0.000
0.130 0.630 0.500
0.259 0.259 0.000
0.370 0.870 0.500
0.500 0.500 0.000
0.630 0.130 0.500
0.741 0.741 0.000
0.870 0.370 0.500
```